# 1
# LaTiS2

A relaxed structure of LaTiS2 (GGA-PBEsol, Alexandria).

Summary:
* total magnetization: 0.0 μB per formula unit
* uncorrected formation energy: -4.7 eV per formula unit

Cell and atoms, written as extended XYZ:
```
4
Lattice="-0.349 -3.022 -1.736 2.742 -2.153 -0.337 -1.348 -5.574 6.441" Properties=species:S:1:pos:R:3 pbc="T T T"
S -0.632 -4.289 4.060
Ti 0.522 -5.374 2.184
S 1.677 -6.460 0.309
La 0.000 0.000 0.000
```

# 2
# Y2AsRh

A relaxed structure of Y2AsRh (GGA-PBEsol, Alexandria).

Summary:
* formation enthalpy at 0 K: -0.366 eV per atom
* total magnetization: 0.0 μB per formula unit

Cell and atoms, written as extended XYZ:
```
4
Lattice="4.786 0.000 0.000 2.393 4.145 0.000 2.393 1.382 3.908" Properties=species:S:1:pos:R:3 pbc="T T T"
Y 2.393 1.382 0.977
Rh 7.179 4.145 2.931
As 4.786 2.763 1.954
Y 0.000 0.000 0.000
```

# 3
# Na2ZnP2

A relaxed structure of Na2ZnP2 (GGA-PBEsol, Alexandria).

Summary:
* formation enthalpy at 0 K: -0.259 eV per atom
* total magnetization: 0.0 μB per formula unit

Cell and atoms, written as extended XYZ:
```
10
Lattice="-1.713 -2.813 -3.264 -0.101 -4.759 4.154 -5.870 1.606 1.697" Properties=species:S:1:pos:R:3 pbc="T T T"
Na -1.916 -2.673 0.015
Na -4.836 -1.155 0.239
Na -2.849 -4.811 2.347
Zn 0.000 0.000 0.000
P -0.800 -2.776 2.812
Zn -2.986 -1.577 2.926
P -2.211 0.004 1.157
P -3.761 -3.157 4.694
Na -5.769 -3.293 2.572
P -5.171 -0.378 3.039
```

# 4
# Ga2HPtCl

A relaxed structure of Ga2HPtCl (GGA-PBEsol, Alexandria).

Summary:
* total magnetization: 0.0 μB per formula unit
* raw total energy: -17.35 eV per cell

Cell and atoms, written as extended XYZ:
```
5
Lattice="-1.887 -2.433 2.337 3.079 -0.150 2.331 -1.701 3.706 2.485" Properties=species:S:1:pos:R:3 pbc="T T T"
Cl -0.850 1.853 1.242
Ga -0.944 -1.216 1.168
Pt -0.254 0.562 3.576
Ga 1.540 -0.075 1.166
H 0.000 0.000 0.000
```

# 5
# PrAlZn

A relaxed structure of PrAlZn (GGA-PBEsol, Alexandria).

Summary:
* formation enthalpy at 0 K: -0.422 eV per atom
* total magnetization: 0.0 μB per formula unit

Cell and atoms, written as extended XYZ:
```
6
Lattice="4.544 0.000 0.000 2.272 5.259 -0.011 2.272 0.103 5.417" Properties=species:S:1:pos:R:3 pbc="T T T"
Pr 4.544 1.610 4.319
Al 6.816 3.867 3.265
Zn 4.544 4.788 4.215
Pr 4.544 3.752 1.086
Zn 4.544 0.575 1.191
Al 2.272 1.495 2.141
```

# 6
# Tb3NiGe2

A relaxed structure of Tb3NiGe2 (GGA-PBEsol, Alexandria).

Summary:
* formation enthalpy at 0 K: -0.822 eV per atom
* total magnetization: 0.0 μB per formula unit

Cell and atoms, written as extended XYZ:
```
24
Lattice="4.130 0.000 0.000 0.000 11.140 0.000 0.000 0.000 11.283" Properties=species:S:1:pos:R:3 pbc="T T T"
Ge 1.033 7.657 5.426
Ni 3.098 7.037 4.182
Tb 3.098 3.383 8.811
Tb 3.098 6.223 6.981
Ni 1.033 4.103 7.101
Ge 1.033 9.053 11.067
Ge 1.033 5.553 9.102
Ge 3.098 3.483 5.857
Ge 3.098 2.087 0.215
Tb 1.033 1.418 6.273
Tb 1.033 8.953 8.113
Tb 1.033 7.757 2.471
Tb 3.098 6.988 10.651
Tb 1.033 4.152 0.632
Ge 3.098 5.587 2.180
Tb 3.098 9.722 5.009
Tb 3.098 10.486 1.340
Ge 3.098 11.122 7.822
Ni 1.033 1.467 1.460
Tb 3.098 2.187 3.170
Ge 1.033 0.017 3.461
Ni 3.098 9.673 9.823
Tb 1.033 4.916 4.301
Tb 1.033 0.654 9.943
```

# 7
# LuCd

A relaxed structure of LuCd (GGA-PBEsol, Alexandria).

Summary:
* formation enthalpy at 0 K: -0.334 eV per atom
* total magnetization: 0.0 μB per formula unit

Cell and atoms, written as extended XYZ:
```
2
Lattice="3.603 0.000 0.000 0.000 3.603 0.000 0.000 0.000 3.603" Properties=species:S:1:pos:R:3 pbc="T T T"
Lu 0.000 0.000 0.000
Cd 1.801 1.801 1.801
```

# 8
# CuTcP2O

A relaxed structure of CuTcP2O (GGA-PBEsol, Alexandria).

Summary:
* total magnetization: 1.5 μB per formula unit
* uncorrected formation energy: 3.6 eV per formula unit

Cell and atoms, written as extended XYZ:
```
5
Lattice="3.381 0.000 0.000 0.000 4.510 0.000 0.000 0.000 4.510" Properties=species:S:1:pos:R:3 pbc="T T T"
O 1.691 0.000 0.000
Tc 1.691 2.255 2.255
P 0.000 2.255 0.000
Cu 0.000 0.000 0.000
P 0.000 0.000 2.255
```

# 9
# MnZn2Ir

A relaxed structure of MnZn2Ir (GGA-PBEsol, Alexandria).

Summary:
* formation enthalpy at 0 K: -0.070 eV per atom
* total magnetization: 3.7 μB per formula unit

Cell and atoms, written as extended XYZ:
```
4
Lattice="-1.395 1.359 -3.274 -3.383 -1.559 0.795 1.367 3.198 2.961" Properties=species:S:1:pos:R:3 pbc="T T T"
Zn -1.209 2.228 -0.776
Ir -2.389 -0.100 -1.239
Zn 0.000 0.000 0.000
Mn -2.203 0.769 1.258
```

# 10
# GaRu2Cl

A relaxed structure of GaRu2Cl (GGA-PBEsol, Alexandria).

Summary:
* total magnetization: 0.0 μB per formula unit
* uncorrected formation energy: 2.1 eV per formula unit

Cell and atoms, written as extended XYZ:
```
4
Lattice="-3.393 1.194 2.291 -3.421 -2.536 0.224 -0.928 -2.012 3.644" Properties=species:S:1:pos:R:3 pbc="T T T"
Cl 0.000 0.000 0.000
Ru -5.807 -2.515 4.619
Ru -1.936 -0.838 1.540
Ga -3.871 -1.677 3.080
```

# 11
# AsPNF2

A relaxed structure of AsPNF2 (GGA-PBEsol, Alexandria).

Summary:
* total magnetization: 0.0 μB per formula unit
* uncorrected formation energy: -0.3 eV per formula unit

Cell and atoms, written as extended XYZ:
```
5
Lattice="3.261 0.000 0.000 0.000 4.392 0.000 0.000 0.000 4.392" Properties=species:S:1:pos:R:3 pbc="T T T"
F 0.000 0.000 2.196
F 0.000 2.196 0.000
P 0.000 0.000 0.000
As 1.630 2.196 2.196
N 1.630 0.000 0.000
```

# 12
# ZnPt2Cl

A relaxed structure of ZnPt2Cl (GGA-PBEsol, Alexandria).

Summary:
* distance to the lowest polymorph of the same formula: 5 meV per atom
* total magnetization: 0.0 μB per formula unit
* uncorrected formation energy: 0.1 eV per formula unit

Cell and atoms, written as extended XYZ:
```
4
Lattice="2.780 0.000 0.000 -1.390 4.964 -0.038 0.000 -2.481 4.650" Properties=species:S:1:pos:R:3 pbc="T T T"
Zn 1.390 -0.271 1.756
Cl 1.390 2.173 1.674
Pt 0.000 -0.265 3.942
Pt 1.390 2.088 4.176
```